1) The following is a PBE-GGA calculation of TaCo2Tc after structural relaxation, from Alexandria via LeMat-Bulk.

```
data_TaCo2Tc
_space_group_name_H-M_alt 'P 4/m m m'
_space_group_IT_number 123
_space_group_name_Hall '-P 4 2'
_cell_length_a 2.680
_cell_length_b 2.680
_cell_length_c 7.386
_cell_angle_alpha 90.00
_cell_angle_beta 90.00
_cell_angle_gamma 90.00
loop_
_atom_site_label
_atom_site_type_symbol
_atom_site_fract_x
_atom_site_fract_y
_atom_site_fract_z
_atom_site_occupancy
Ta1 Ta 0.000 0.000 0.000 1
Co1 Co 0.500 0.500 0.264 1
Tc1 Tc 0.000 0.000 0.500 1
```

2) The following is a PBE-GGA calculation of TaCo2Tc after structural relaxation, from Alexandria via LeMat-Bulk.

```
data_TaCo2Tc
_space_group_name_H-M_alt 'I 4/m m m'
_space_group_IT_number 139
_space_group_name_Hall '-I 4 2'
_cell_length_a 3.772
_cell_length_b 3.772
_cell_length_c 7.438
_cell_angle_alpha 90.00
_cell_angle_beta 90.00
_cell_angle_gamma 90.00
loop_
_atom_site_label
_atom_site_type_symbol
_atom_site_fract_x
_atom_site_fract_y
_atom_site_fract_z
_atom_site_occupancy
Ta1 Ta 0.000 0.000 0.000 1
Co1 Co 0.000 0.500 0.250 1
Tc1 Tc 0.000 0.000 0.500 1
```

Least stable of them? 1).

1) The following is a PBE-GGA calculation of TaCo2Tc after structural relaxation, from Alexandria via LeMat-Bulk.

```
data_TaCo2Tc
_space_group_name_H-M_alt 'P 4/m m m'
_space_group_IT_number 123
_space_group_name_Hall '-P 4 2'
_cell_length_a 3.185
_cell_length_b 3.185
_cell_length_c 5.324
_cell_angle_alpha 90.00
_cell_angle_beta 90.00
_cell_angle_gamma 90.00
loop_
_atom_site_label
_atom_site_type_symbol
_atom_site_fract_x
_atom_site_fract_y
_atom_site_fract_z
_atom_site_occupancy
Ta1 Ta 0.000 0.000 0.000 1
Co1 Co 0.500 0.500 0.258 1
Tc1 Tc 0.000 0.000 0.500 1
```

2) The following is a PBE-GGA calculation of TaCo2Tc after structural relaxation, from Alexandria via LeMat-Bulk.

```
data_TaCo2Tc
_space_group_name_H-M_alt 'F 2 2 2'
_space_group_IT_number 22
_space_group_name_Hall 'F 2 2'
_cell_length_a 5.303
_cell_length_b 5.311
_cell_length_c 7.593
_cell_angle_alpha 90.00
_cell_angle_beta 90.00
_cell_angle_gamma 90.00
loop_
_atom_site_label
_atom_site_type_symbol
_atom_site_fract_x
_atom_site_fract_y
_atom_site_fract_z
_atom_site_occupancy
Ta1 Ta 0.000 0.000 0.000 1
Co1 Co 0.000 0.000 0.500 1
Co2 Co 0.250 0.250 0.250 1
Tc1 Tc 0.250 0.250 0.750 1
```

Least stable of them? 1).

1) The following is a PBE-GGA calculation of TaCo2Tc after structural relaxation, from Alexandria via LeMat-Bulk.

```
data_TaCo2Tc
_space_group_name_H-M_alt 'C 1 m 1'
_space_group_IT_number 8
_space_group_name_Hall 'C -2y'
_cell_length_a 8.697
_cell_length_b 2.710
_cell_length_c 4.619
_cell_angle_alpha 90.00
_cell_angle_beta 100.56
_cell_angle_gamma 90.00
loop_
_atom_site_label
_atom_site_type_symbol
_atom_site_fract_x
_atom_site_fract_y
_atom_site_fract_z
_atom_site_occupancy
Ta1 Ta 0.000 0.000 0.000 1
Co1 Co 0.251 0.500 0.218 1
Co2 Co 0.491 0.000 0.488 1
Tc1 Tc 0.235 0.000 0.674 1
```

2) The following is a PBE-GGA calculation of TaCo2Tc after structural relaxation, from Alexandria via LeMat-Bulk.

```
data_TaCo2Tc
_space_group_name_H-M_alt 'I -4 2 d'
_space_group_IT_number 122
_space_group_name_Hall 'I -4 2bw'
_cell_length_a 6.615
_cell_length_b 6.615
_cell_length_c 5.201
_cell_angle_alpha 90.00
_cell_angle_beta 90.00
_cell_angle_gamma 90.00
loop_
_atom_site_label
_atom_site_type_symbol
_atom_site_fract_x
_atom_site_fract_y
_atom_site_fract_z
_atom_site_occupancy
Ta1 Ta 0.000 0.000 0.000 1
Co1 Co 0.240 0.250 0.625 1
Tc1 Tc 0.000 0.000 0.500 1
```

3) The following is a PBE-GGA calculation of TaCo2Tc after structural relaxation, from Alexandria via LeMat-Bulk.

```
data_TaCo2Tc
_space_group_name_H-M_alt 'P 4 m m'
_space_group_IT_number 99
_space_group_name_Hall 'P 4 -2'
_cell_length_a 2.710
_cell_length_b 2.710
_cell_length_c 7.374
_cell_angle_alpha 90.00
_cell_angle_beta 90.00
_cell_angle_gamma 90.00
loop_
_atom_site_label
_atom_site_type_symbol
_atom_site_fract_x
_atom_site_fract_y
_atom_site_fract_z
_atom_site_occupancy
Ta1 Ta 0.000 0.000 0.000 1
Co1 Co 0.000 0.000 0.535 1
Co2 Co 0.500 0.500 0.744 1
Tc1 Tc 0.500 0.500 0.307 1
```

Least stable of them? 2).